## AcTlBi4 (PBE)

Data for a geometry-optimized AcTlBi4 structure.

abc: 6.7178 6.7178 6.7178
angles: 127.51 118.58 84.99
Atoms (fractional coordinates):
Ac 0.0000 0.0000 0.0000
Tl 0.5000 0.0000 0.5000
Bi 0.0749 0.3355 0.7394
Bi 0.4039 0.6645 0.7394
Bi 0.5961 0.3355 0.2606
Bi 0.9251 0.6645 0.2606

For the energy relative to the elements, the calculation gives -0.26 eV per atom. Its density of states at the Fermi level is 4.4 states/eV/cell. The magnetic moment comes out at 0.0 μB/f.u. Its energy above the most stable polymorph in this dataset is 0 meV/atom. The space-group type is Immm (71).